Ca2DyPd3: optimized geometry, PBE-GGA.

DOS(E_F) = 2.55 states/eV/f.u.
Symmetry = No. 65
Formation energy = -0.7712 eV/atom
Size of the total moment = 0.00 μB per atom
Calculated density = 7.08 g/cm³

abc: 7.8917 7.8917 7.0858
angles: 90.00 90.00 143.31
With the nearest neighbours (Å) after each atom.
Positions (direct):
Ca1 0.0000 0.0000 0.0000  8 Pd 3.08-3.22
Ca2 0.0000 0.0000 0.5000  8 Pd 3.02-3.07
Ca3 0.3335 0.6665 0.0000  8 Pd 3.07-3.14
Ca4 0.6665 0.3335 0.0000  8 Pd 3.07-3.14
Dy1 0.3365 0.6635 0.5000  8 Pd 2.94-2.99
Dy2 0.6635 0.3365 0.5000  8 Pd 2.94-2.99
Pd1 0.1733 0.8267 0.2700  3 Dy 2.94-2.97, 5 Ca 3.07-3.22, 1 Pd 3.26
Pd2 0.1733 0.8267 0.7300  3 Dy 2.94-2.97, 5 Ca 3.07-3.22, 1 Pd 3.26
Pd3 0.5000 0.5000 0.2579  2 Dy 2.99, 6 Ca 3.02-3.09
Pd4 0.5000 0.5000 0.7421  2 Dy 2.99, 6 Ca 3.02-3.09
Pd5 0.8267 0.1733 0.2700  3 Dy 2.94-2.97, 5 Ca 3.07-3.22, 1 Pd 3.26
Pd6 0.8267 0.1733 0.7300  3 Dy 2.94-2.97, 5 Ca 3.07-3.22, 1 Pd 3.26

Ca3Nd2: optimized geometry, PBE-GGA.

DOS(E_F) = 6.38 states/eV/f.u.
Symmetry = No. 166
Formation energy = 0.0256 eV/atom
Size of the total moment = 0.00 μB per atom
Calculated density = 3.49 g/cm³

abc: 15.8438 15.8438 15.8438
angles: 13.70 13.70 13.70
With the nearest neighbours (Å) after each atom.
Positions (direct):
Ca1 0.0000 0.0000 0.0000  12 Ca 3.78-3.91
Ca2 0.4022 0.4022 0.4022  9 Ca 3.78-3.91, 3 Nd 3.85
Ca3 0.5978 0.5978 0.5978  9 Ca 3.78-3.91, 3 Nd 3.85
Nd1 0.1970 0.1970 0.1970  9 Nd 3.60-3.78, 3 Ca 3.85
Nd2 0.8030 0.8030 0.8030  9 Nd 3.60-3.78, 3 Ca 3.85

Li3Nd5Te8: optimized geometry, PBE-GGA.

DOS(E_F) = 4.13 states/eV/f.u.
Symmetry = No. 166
Size of the total moment = 0.00 μB per atom
Energy relative to the elements, uncorrected = -21.5 eV per formula unit
Calculated density = 5.91 g/cm³

abc: 8.8693 8.8693 8.8693
angles: 60.15 60.15 60.15
With the nearest neighbours (Å) after each atom.
Positions (direct):
Li1 0.0000 0.5000 0.5000  6 Te 3.07-3.09
Li2 0.5000 0.0000 0.5000  6 Te 3.07-3.09
Li3 0.5000 0.5000 0.0000  6 Te 3.07-3.09
Nd1 0.0000 0.0000 0.0000  6 Te 3.14
Nd2 0.0000 0.0000 0.5000  6 Te 3.19-3.21
Nd3 0.0000 0.5000 0.0000  6 Te 3.19-3.21
Nd4 0.5000 0.0000 0.0000  6 Te 3.19-3.21
Nd5 0.5000 0.5000 0.5000  6 Te 3.14
Te1 0.2500 0.2500 0.7388  2 Li 3.07, 4 Nd 3.14-3.21
Te2 0.2500 0.7388 0.2500  2 Li 3.07, 4 Nd 3.14-3.21
Te3 0.2542 0.2542 0.2542  3 Li 3.09, 3 Nd 3.19
Te4 0.2612 0.7500 0.7500  2 Li 3.07, 4 Nd 3.14-3.21
Te5 0.7388 0.2500 0.2500  2 Li 3.07, 4 Nd 3.14-3.21
Te6 0.7458 0.7458 0.7458  3 Li 3.09, 3 Nd 3.19
Te7 0.7500 0.2612 0.7500  2 Li 3.07, 4 Nd 3.14-3.21
Te8 0.7500 0.7500 0.2612  2 Li 3.07, 4 Nd 3.14-3.21